(1)
A relaxed LaY3Ho6 crystal, computed with PBE.

Cell: 11.0209 11.0209 6.2294 Å, 90.00 90.00 121.11°
Closest atoms and distances in Å follow each position.
Fractional positions:
La: 0.2113 0.7887 0.5000  3 Y 3.24-3.46, 6 Ho 3.25-3.55
La: 0.7887 0.2113 0.0000  3 Y 3.24-3.46, 6 Ho 3.25-3.55
Y: 0.0752 0.2888 0.7435  1 La 3.24, 4 Ho 3.28-3.60, 1 Y 3.55
Y: 0.2888 0.0752 0.2435  1 La 3.24, 4 Ho 3.28-3.60, 1 Y 3.55
Y: 0.3882 0.6118 0.6045  5 Ho 3.26-3.59, 1 La 3.46, 2 Y 3.55
Y: 0.6118 0.3882 0.1045  5 Ho 3.26-3.59, 1 La 3.46, 2 Y 3.55
Y: 0.7112 0.9248 0.7435  1 La 3.24, 4 Ho 3.28-3.60, 1 Y 3.55
Y: 0.9248 0.7112 0.2435  1 La 3.24, 4 Ho 3.28-3.60, 1 Y 3.55
Ho: 0.0167 0.4410 0.3375  2 La 3.25-3.44, 1 Y 3.28, 5 Ho 3.39-3.49
Ho: 0.0496 0.9504 0.7772  1 La 3.55, 4 Y 3.60-3.68, 4 Ho 3.61-3.65
Ho: 0.2838 0.3760 0.1935  4 Y 3.36-3.59, 6 Ho 3.45-3.69
Ho: 0.3076 0.6924 0.0649  1 Y 3.26, 1 La 3.28, 6 Ho 3.39-3.45
Ho: 0.3760 0.2838 0.6935  4 Y 3.36-3.59, 6 Ho 3.45-3.69
Ho: 0.4410 0.0167 0.8375  2 La 3.25-3.44, 1 Y 3.28, 5 Ho 3.39-3.49
Ho: 0.5590 0.9833 0.3375  2 La 3.25-3.44, 1 Y 3.28, 5 Ho 3.39-3.49
Ho: 0.6240 0.7162 0.1935  4 Y 3.36-3.59, 6 Ho 3.45-3.69
Ho: 0.6924 0.3076 0.5649  1 Y 3.26, 1 La 3.28, 6 Ho 3.39-3.45
Ho: 0.7162 0.6240 0.6935  4 Y 3.36-3.59, 6 Ho 3.45-3.69
Ho: 0.9504 0.0496 0.2772  1 La 3.55, 4 Y 3.60-3.68, 4 Ho 3.61-3.65
Ho: 0.9833 0.5590 0.8375  2 La 3.25-3.44, 1 Y 3.28, 5 Ho 3.39-3.49

Crystal system: orthorhombic
Space-group type: Cmc2_1 (36)
Energy above the most stable polymorph in this dataset in eV per atom: 0.000
ΔE_f in eV/atom: 0.1468

(2)
A relaxed LaY2Ho2 crystal, computed with PBE.

Cell: 12.8014 11.7275 6.4737 Å, 84.11 65.68 30.20°
Closest atoms and distances in Å follow each position.
Fractional positions:
La: 0.1250 0.1250 0.1250  4 Ho 3.28, 4 Y 3.43
La: 0.8750 0.8750 0.8750  4 Ho 3.28, 4 Y 3.43
Y: 0.2044 0.5456 0.2044  2 Y 3.35, 2 La 3.43, 2 Ho 3.57
Y: 0.4544 0.7956 0.4544  2 Y 3.35, 2 La 3.43, 2 Ho 3.57
Y: 0.5456 0.2044 0.5456  2 Y 3.35, 2 La 3.43, 2 Ho 3.57
Y: 0.7956 0.4544 0.7956  2 Y 3.35, 2 La 3.43, 2 Ho 3.57
Ho: 0.0000 0.0000 0.0000  2 Ho 3.24, 2 La 3.28, 2 Y 3.57
Ho: 0.0000 0.0000 0.5000  2 Ho 3.24, 2 La 3.28, 2 Y 3.57
Ho: 0.0000 0.5000 0.0000  2 Ho 3.24, 2 La 3.28, 2 Y 3.57
Ho: 0.5000 0.0000 0.0000  2 Ho 3.24, 2 La 3.28, 2 Y 3.57

Crystal system: orthorhombic
Space-group type: Fddd (70)
Energy above the most stable polymorph in this dataset in eV per atom: 0.441
ΔE_f in eV/atom: 0.5191

(3)
A relaxed La7Y2Ho2 crystal, computed with PBE.

Cell: 8.2010 8.2010 6.2208 Å, 105.07 105.07 90.32°
Closest atoms and distances in Å follow each position.
Fractional positions:
La: 0.0000 0.0000 0.0000  4 La 3.37, 2 Ho 3.64
La: 0.0481 0.5833 0.8187  2 La 3.18-3.37, 2 Y 3.42-3.52, 1 Ho 3.42
La: 0.4167 0.9519 0.1813  2 La 3.18-3.37, 2 Y 3.42-3.52, 1 Ho 3.42
La: 0.4252 0.4252 0.1967  6 La 3.48-3.86, 3 Ho 3.63-3.88, 2 Y 3.81
La: 0.5748 0.5748 0.8033  6 La 3.48-3.86, 3 Ho 3.63-3.88, 2 Y 3.81
La: 0.5833 0.0481 0.8187  2 La 3.18-3.37, 2 Y 3.42-3.52, 1 Ho 3.42
La: 0.9519 0.4167 0.1813  2 La 3.18-3.37, 2 Y 3.42-3.52, 1 Ho 3.42
Y: 0.2095 0.7905 0.5000  6 La 3.42-3.81, 2 Ho 3.50
Y: 0.7905 0.2095 0.5000  6 La 3.42-3.81, 2 Ho 3.50
Ho: 0.2297 0.2297 0.5872  7 La 3.42-3.71, 2 Y 3.50
Ho: 0.7703 0.7703 0.4128  7 La 3.42-3.71, 2 Y 3.50

Crystal system: monoclinic
Space-group type: C2/m (12)
Energy above the most stable polymorph in this dataset in eV per atom: 0.000
ΔE_f in eV/atom: 0.1197

(4)
A relaxed La3Y6Ho crystal, computed with PBE.

Cell: 11.0347 11.0347 6.4496 Å, 90.00 90.00 119.93°
Closest atoms and distances in Å follow each position.
Fractional positions:
La: 0.1135 0.8865 0.5000  7 Y 3.47-3.87, 2 La 3.65, 1 Ho 3.71
La: 0.2103 0.4399 0.8954  1 Ho 3.26, 6 Y 3.32-3.56
La: 0.4399 0.2103 0.3954  1 Ho 3.26, 6 Y 3.32-3.56
La: 0.5601 0.7897 0.8954  1 Ho 3.26, 6 Y 3.32-3.56
La: 0.7897 0.5601 0.3954  1 Ho 3.26, 6 Y 3.32-3.56
La: 0.8865 0.1135 0.0000  7 Y 3.47-3.87, 2 La 3.65, 1 Ho 3.71
Y: 0.0304 0.4490 0.3021  5 Y 3.22-3.59, 2 La 3.32-3.49, 2 Ho 3.34-3.59
Y: 0.1237 0.2140 0.4843  3 La 3.43-3.56, 4 Y 3.44-3.73
Y: 0.2140 0.1237 0.9843  3 La 3.43-3.56, 4 Y 3.44-3.73
Y: 0.2281 0.7719 0.0819  4 Y 3.22-3.42, 1 Ho 3.43, 1 La 3.47
Y: 0.4490 0.0304 0.8021  5 Y 3.22-3.59, 2 La 3.32-3.49, 2 Ho 3.34-3.59
Y: 0.4615 0.5385 0.3011  1 Ho 3.40, 2 Y 3.54, 4 La 3.56
Y: 0.5385 0.4615 0.8011  1 Ho 3.40, 2 Y 3.54, 4 La 3.56
Y: 0.5510 0.9696 0.3021  5 Y 3.22-3.59, 2 La 3.32-3.49, 2 Ho 3.34-3.59
Y: 0.7719 0.2281 0.5819  4 Y 3.22-3.42, 1 Ho 3.43, 1 La 3.47
Y: 0.7860 0.8763 0.4843  3 La 3.43-3.56, 4 Y 3.44-3.73
Y: 0.8763 0.7860 0.9843  3 La 3.43-3.56, 4 Y 3.44-3.73
Y: 0.9696 0.5510 0.8021  5 Y 3.22-3.59, 2 La 3.32-3.49, 2 Ho 3.34-3.59
Ho: 0.3064 0.6936 0.5611  2 La 3.26, 6 Y 3.34-3.59
Ho: 0.6936 0.3064 0.0611  2 La 3.26, 6 Y 3.34-3.59

Crystal system: orthorhombic
Space-group type: Cmc2_1 (36)
ΔE_f in eV/atom: 0.1468

(5)
A relaxed La4Y2Ho crystal, computed with PBE.

Cell: 9.1232 9.1232 9.1232 Å, 135.00 101.20 95.66°
Closest atoms and distances in Å follow each position.
Fractional positions:
La: 0.1527 0.1509 0.0018  1 Y 3.35, 2 Ho 3.58, 3 La 3.70-3.73
La: 0.2439 0.2104 0.4665  1 La 3.02, 1 Ho 3.15, 1 Y 3.23
La: 0.2439 0.7774 0.0335  1 La 3.02, 1 Ho 3.15, 1 Y 3.23
La: 0.3509 0.8491 0.5018  1 Y 3.35, 2 Ho 3.58, 3 La 3.70-3.73
La: 0.6491 0.1509 0.4982  1 Y 3.35, 2 Ho 3.58, 3 La 3.70-3.73
La: 0.7561 0.2226 0.9665  1 La 3.02, 1 Ho 3.15, 1 Y 3.23
La: 0.7561 0.7896 0.5335  1 La 3.02, 1 Ho 3.15, 1 Y 3.23
La: 0.8473 0.8491 0.9982  1 Y 3.35, 2 Ho 3.58, 3 La 3.70-3.73
Y: 0.0000 0.5000 0.5000  4 La 3.51, 2 Y 3.91
Y: 0.0358 0.2858 0.7500  4 La 3.23-3.35, 2 Y 3.60
Y: 0.5000 0.5000 0.0000  4 La 3.51, 2 Y 3.91
Y: 0.9642 0.7142 0.2500  4 La 3.23-3.35, 2 Y 3.60
Ho: 0.5000 0.0000 0.0000  2 La 3.15, 2 Ho 3.49
Ho: 0.5000 0.5000 0.5000  2 La 3.15, 2 Ho 3.49

Crystal system: orthorhombic
Space-group type: Imma (74)
Energy above the most stable polymorph in this dataset in eV per atom: 0.151
ΔE_f in eV/atom: 0.2197

(6)
A relaxed La3Y2Ho crystal, computed with PBE.

Cell: 7.2601 5.1869 10.9772 Å, 90.00 90.61 90.00°
Closest atoms and distances in Å follow each position.
Fractional positions:
La: 0.0012 0.0000 0.3288  1 Ho 3.61, 4 Y 3.62-3.65, 7 La 3.66-3.76
La: 0.2470 0.5000 0.5002  7 La 3.59-3.71, 5 Y 3.68-3.69
La: 0.2515 0.5000 0.1619  5 Y 3.59-3.66, 4 Ho 3.63, 3 La 3.67-3.71
La: 0.7485 0.5000 0.8381  5 Y 3.59-3.66, 4 Ho 3.63, 3 La 3.67-3.71
La: 0.7530 0.5000 0.4998  7 La 3.59-3.71, 5 Y 3.68-3.69
La: 0.9988 0.0000 0.6712  1 Ho 3.61, 4 Y 3.62-3.65, 7 La 3.66-3.76
Y: 0.2526 0.5000 0.8352  6 La 3.59-3.68, 4 Ho 3.63-3.67, 2 Y 3.65
Y: 0.4993 0.0000 0.3302  8 La 3.62-3.69, 1 Ho 3.62, 3 Y 3.65-3.73
Y: 0.5007 0.0000 0.6698  8 La 3.62-3.69, 1 Ho 3.62, 3 Y 3.65-3.73
Y: 0.7474 0.5000 0.1648  6 La 3.59-3.68, 4 Ho 3.63-3.67, 2 Y 3.65
Ho: 0.0000 0.0000 0.0000  6 La 3.61-3.63, 2 Ho 3.63, 4 Y 3.67
Ho: 0.5000 0.0000 0.0000  6 Y 3.62-3.63, 2 Ho 3.63, 4 La 3.63

Crystal system: monoclinic
Space-group type: P2/m (10)
Energy above the most stable polymorph in this dataset in eV per atom: 0.018
ΔE_f in eV/atom: 0.0249

no.,E (eV/f.u.)
1,-50.3
2,-24.4
3,-55.3
4,-56.7
5,-35.7
6,-32.1